The following is a PBE calculation of a relaxed KPb2Cl crystal, from the Alexandria database.

```
KPb2Cl
1.0
-1.7436 3.4087 5.7568
1.7436 -3.4087 5.7568
1.7436 3.4087 -5.7568
K Pb Cl
1 2 1
Direct
0.0000 0.0000 0.0000
0.3044 0.8044 0.5000
0.5473 0.5473 0.0000
0.7928 0.2928 0.5000
```

Summary:
The calculation puts the formation energy without anion corrections at -405.3 meV/atom. Its energy above the most stable polymorph in this dataset is 302 meV/atom.


The following is a PBE calculation of a relaxed Ti15In2Pb2 crystal, from the Alexandria database.

```
Ti15In2Pb2
1.0
4.6104 2.6618 4.9236
-4.6104 2.6618 4.9236
0.0000 -5.3236 4.9236
Ti In Pb
15 2 2
Direct
0.0000 0.0000 0.5000
0.0000 0.3014 0.6986
0.0000 0.5000 0.0000
0.0000 0.6986 0.3014
0.1582 0.6295 0.6295
0.3014 0.0000 0.6986
0.3014 0.6986 0.0000
0.3705 0.3705 0.8418
0.3705 0.8418 0.3705
0.5000 0.0000 0.0000
0.6295 0.1582 0.6295
0.6295 0.6295 0.1582
0.6986 0.0000 0.3014
0.6986 0.3014 0.0000
0.8418 0.3705 0.3705
0.0978 0.0978 0.0978
0.9022 0.9022 0.9022
0.3261 0.3261 0.3261
0.6739 0.6739 0.6739
```

Summary:
The value obtained for the formation energy is 0.241 eV per atom.


The following is a PBE calculation of a relaxed Co2AgTe crystal, from the Alexandria database.

```
Co2AgTe
1.0
-3.5362 3.5362 2.7121
3.5362 -3.5362 2.7121
3.5362 3.5362 -2.7121
Co Ag Te
4 2 2
Direct
0.1071 0.6250 0.9821
0.3750 0.3571 0.4821
0.6429 0.1250 0.0179
0.8750 0.8929 0.5179
0.2500 0.7500 0.5000
0.5000 0.5000 0.0000
0.0000 0.0000 0.0000
0.7500 0.2500 0.5000
```

Summary:
The calculation puts the formation energy without anion corrections at 600.9 meV/atom.


no.,raw total energy (eV/cell)
1,-11.982
2,-126.738
3,-35.602